Entry 1:
Density functional theory data (SCAN) for a PBEsol-optimized structure of MnCrIr2.

Summary:
VASP energy in eV per atom: -45.000
SG: Cm, No. 8
Distance to the lowest polymorph of the same formula in eV per atom: 0.2692
Magnetization in Bohr magnetons per cell: 0.9
DOS(E_F) in states/eV per atom: 0.692

abc: 4.527 4.527 4.495
angles: 100.59 100.59 33.88
Atoms (fractional coordinates):
Mn (0.000, 0.000, 0.000)
Cr (0.256, 0.256, 0.748)
Ir (0.506, 0.506, 0.517)
Ir (0.749, 0.749, 0.228)

Entry 2:
Density functional theory data (SCAN) for a PBEsol-optimized structure of MnCrP2Ir.

Summary:
VASP energy in eV per atom: -25.104
SG: P4/mmm, No. 123
Magnetization in Bohr magnetons per cell: 4.8
DOS(E_F) in states/eV per atom: 0.563

abc: 4.242 4.242 4.647
angles: 90.00 90.00 90.00
Atoms (fractional coordinates):
Mn (0.000, 0.000, 0.000)
Cr (0.500, 0.500, 0.500)
P (0.000, 0.500, 0.500)
P (0.500, 0.000, 0.500)
Ir (0.500, 0.500, 0.000)

Entry 3:
Density functional theory data (SCAN) for a PBEsol-optimized structure of CrMoIr2.

Summary:
VASP energy in eV per atom: -48.966
SG: R-3m, No. 166
Distance to the lowest polymorph of the same formula in eV per atom: 0.2512
Magnetization in Bohr magnetons per cell: 0.0
DOS(E_F) in states/eV per atom: 0.975

abc: 8.884 8.884 8.884
angles: 17.43 17.43 17.43
Atoms (fractional coordinates):
Cr (0.000, 0.000, 0.000)
Mo (0.500, 0.500, 0.500)
Ir (0.254, 0.254, 0.254)
Ir (0.746, 0.746, 0.746)

Entry 4:
Density functional theory data (SCAN) for a PBEsol-optimized structure of CrMoIr.

Summary:
VASP energy in eV per atom: -41.186
SG: F-43m, No. 216
Distance to the lowest polymorph of the same formula in eV per atom: 0.1624
Magnetization in Bohr magnetons per cell: 3.2
DOS(E_F) in states/eV per atom: 0.919

abc: 4.154 4.154 4.154
angles: 60.00 60.00 60.00
Atoms (fractional coordinates):
Cr (0.000, 0.000, 0.000)
Mo (0.500, 0.500, 0.500)
Ir (0.750, 0.750, 0.750)

Entry 5:
Density functional theory data (SCAN) for a PBEsol-optimized structure of CrMoIr2.

Summary:
VASP energy in eV per atom: -49.181
SG: P4/mmm, No. 123
Distance to the lowest polymorph of the same formula in eV per atom: 0.0362
Magnetization in Bohr magnetons per cell: 0.0
DOS(E_F) in states/eV per atom: 0.630

abc: 2.689 2.689 7.530
angles: 90.00 90.00 90.00
Atoms (fractional coordinates):
Cr (0.000, 0.000, 0.000)
Mo (0.000, 0.000, 0.500)
Ir (0.500, 0.500, 0.235)
Ir (0.500, 0.500, 0.765)

Entry 6:
Density functional theory data (SCAN) for a PBEsol-optimized structure of Cr2MoIr.

Summary:
VASP energy in eV per atom: -35.557
SG: Cmm2, No. 35
Magnetization in Bohr magnetons per cell: 0.0
DOS(E_F) in states/eV per atom: 0.850

abc: 2.616 2.616 8.257
angles: 90.00 90.00 111.57
Atoms (fractional coordinates):
Cr (0.000, 0.000, 0.000)
Cr (0.500, 0.500, 0.219)
Mo (0.500, 0.500, 0.747)
Ir (0.000, 0.000, 0.473)

| no. | ΔE_f (eV/atom) |
| --- | --- |
| 1 | -0.2908 |
| 2 | 0.6036 |
| 3 | -0.0991 |
| 4 | 0.2704 |
| 5 | -0.3141 |
| 6 | 0.1315 |